1.
Below is a relaxed structure of PmCo5P3, with properties calculated at the PBE level.

a = 5.972 Å, b = 5.972 Å, c = 11.356 Å
α = 90.00°, β = 90.00°, γ = 144.82°
Atoms (fractional coordinates):
Pm 0.160 0.840 0.750
Pm 0.840 0.160 0.250
Co 0.000 0.000 0.000
Co 0.000 0.000 0.500
Co 0.199 0.801 0.070
Co 0.199 0.801 0.430
Co 0.446 0.554 0.643
Co 0.446 0.554 0.857
Co 0.554 0.446 0.143
Co 0.554 0.446 0.357
Co 0.801 0.199 0.570
Co 0.801 0.199 0.930
P 0.110 0.890 0.250
P 0.383 0.617 0.039
P 0.383 0.617 0.461
P 0.617 0.383 0.539
P 0.617 0.383 0.961
P 0.890 0.110 0.750

Calculated values
ΔH_f (0 K), meV per atom: -785.1
Fermi-level density of states, states/eV per atom: 0.8058
VASP energy, eV per formula unit: -63.6

***

2.
Below is a relaxed structure of HPbF, with properties calculated at the PBE level.

a = 4.170 Å, b = 4.170 Å, c = 4.170 Å
α = 60.00°, β = 60.00°, γ = 60.00°
Atoms (fractional coordinates):
H 0.000 0.000 0.000
Pb 0.250 0.250 0.250
F 0.500 0.500 0.500

Calculated values
ΔE to the lowest computed polymorph, eV per atom: 0.050
VASP energy, eV per formula unit: -11.7

***

3.
Below is a relaxed structure of NaMgIn2Ru, with properties calculated at the PBE level.

a = 5.173 Å, b = 5.173 Å, c = 5.046 Å
α = 90.00°, β = 90.00°, γ = 90.00°
Atoms (fractional coordinates):
Na 0.000 0.000 0.000
Mg 0.500 0.500 0.000
In 0.000 0.500 0.500
In 0.500 0.000 0.500
Ru 0.500 0.500 0.500

Calculated values
ΔH_f (0 K), meV per atom: -16.5
Fermi-level density of states, states/eV per atom: 0.2832
VASP energy, eV per formula unit: -17.7

***

4.
Below is a relaxed structure of Tl2In4HgPb2, with properties calculated at the PBE level.

a = 3.534 Å, b = 3.534 Å, c = 24.384 Å
α = 90.00°, β = 90.00°, γ = 120.00°
Atoms (fractional coordinates):
Tl 0.000 0.000 0.000
Tl 0.333 0.667 0.328
In 0.000 0.000 0.218
In 0.000 0.000 0.435
In 0.333 0.667 0.112
In 0.333 0.667 0.890
Hg 0.333 0.667 0.671
Pb 0.000 0.000 0.564
Pb 0.000 0.000 0.779

Calculated values
ΔH_f (0 K), meV per atom: 31.8
Fermi-level density of states, states/eV per atom: 0.4066
VASP energy, eV per formula unit: -23.1

***

5.
Below is a relaxed structure of Ca2YTe, with properties calculated at the PBE level.

a = 6.022 Å, b = 6.022 Å, c = 3.973 Å
α = 90.00°, β = 90.00°, γ = 112.56°
Atoms (fractional coordinates):
Ca 0.000 0.500 0.000
Ca 0.500 0.000 0.000
Y 0.000 0.000 0.500
Te 0.500 0.500 0.500

Calculated values
E_form (uncorrected), eV/f.u.: -1.65
Fermi-level density of states, states/eV per atom: 0.7947
VASP energy, eV per formula unit: -15.3

***

6.
Below is a relaxed structure of Ca3NdZn4, with properties calculated at the PBE level.

a = 9.022 Å, b = 9.022 Å, c = 9.022 Å
α = 33.49°, β = 33.49°, γ = 33.49°
Atoms (fractional coordinates):
Ca 0.000 0.000 0.000
Ca 0.252 0.252 0.252
Ca 0.748 0.748 0.748
Nd 0.500 0.500 0.500
Zn 0.125 0.125 0.125
Zn 0.376 0.376 0.376
Zn 0.624 0.624 0.624
Zn 0.875 0.875 0.875

Calculated values
ΔH_f (0 K), meV per atom: -263.1
Fermi-level density of states, states/eV per atom: 0.8050
VASP energy, eV per formula unit: -18.0

***

7.
Below is a relaxed structure of Rb3VI6, with properties calculated at the PBE level.

a = 9.834 Å, b = 9.834 Å, c = 9.834 Å
α = 92.11°, β = 92.11°, γ = 92.11°
Atoms (fractional coordinates):
Rb 0.039 0.725 0.571
Rb 0.275 0.429 0.961
Rb 0.429 0.961 0.275
Rb 0.571 0.039 0.725
Rb 0.725 0.571 0.039
Rb 0.961 0.275 0.429
V 0.000 0.000 0.000
V 0.500 0.500 0.500
I 0.042 0.724 0.944
I 0.056 0.958 0.276
I 0.276 0.056 0.958
I 0.290 0.586 0.326
I 0.326 0.290 0.586
I 0.414 0.674 0.710
I 0.586 0.326 0.290
I 0.674 0.710 0.414
I 0.710 0.414 0.674
I 0.724 0.944 0.042
I 0.944 0.042 0.724
I 0.958 0.276 0.056

Calculated values
ΔE to the lowest computed polymorph, eV per atom: 0.000
E_form (uncorrected), eV/f.u.: -10.30
Fermi-level density of states, states/eV per atom: 1.1123
VASP energy, eV per formula unit: -31.6

***

8.
Below is a relaxed structure of NbIn2Ru2, with properties calculated at the PBE level.

a = 7.653 Å, b = 7.653 Å, c = 3.040 Å
α = 90.00°, β = 90.00°, γ = 90.00°
Atoms (fractional coordinates):
Nb 0.000 0.000 0.000
Nb 0.500 0.500 0.000
In 0.131 0.369 0.000
In 0.369 0.869 0.000
In 0.631 0.131 0.000
In 0.869 0.631 0.000
Ru 0.169 0.669 0.500
Ru 0.331 0.169 0.500
Ru 0.669 0.831 0.500
Ru 0.831 0.331 0.500

Calculated values
ΔE to the lowest computed polymorph, eV per atom: 0.192
ΔH_f (0 K), meV per atom: 275.9
Fermi-level density of states, states/eV per atom: 1.5588
VASP energy, eV per formula unit: -32.7

***

9.
Below is a relaxed structure of KGa2Ni2, with properties calculated at the PBE level.

a = 7.035 Å, b = 7.035 Å, c = 7.035 Å
α = 147.64°, β = 147.64°, γ = 46.42°
Atoms (fractional coordinates):
K 0.000 0.000 0.000
Ga 0.354 0.354 0.000
Ga 0.646 0.646 0.000
Ni 0.250 0.750 0.500
Ni 0.750 0.250 0.500

Calculated values
ΔE to the lowest computed polymorph, eV per atom: 0.000
ΔH_f (0 K), meV per atom: -65.9
Fermi-level density of states, states/eV per atom: 0.4073
VASP energy, eV per formula unit: -19.0

***

10.
Below is a relaxed structure of AcLa4Sm2Er, with properties calculated at the PBE level.

a = 6.414 Å, b = 6.414 Å, c = 10.578 Å
α = 114.31°, β = 114.31°, γ = 48.44°
Atoms (fractional coordinates):
Ac 0.000 0.000 0.000
La 0.246 0.246 0.869
La 0.252 0.252 0.378
La 0.748 0.748 0.622
La 0.754 0.754 0.131
Sm 0.499 0.499 0.256
Sm 0.501 0.501 0.744
Er 0.000 0.000 0.500

Calculated values
ΔH_f (0 K), meV per atom: 30.7
Fermi-level density of states, states/eV per atom: 1.7414
VASP energy, eV per formula unit: -37.6

***

11.
Below is a relaxed structure of Ho5In2Te, with properties calculated at the PBE level.

a = 6.603 Å, b = 6.603 Å, c = 6.603 Å
α = 110.24°, β = 110.24°, γ = 107.95°
Atoms (fractional coordinates):
Ho 0.000 0.000 0.000
Ho 0.058 0.058 0.533
Ho 0.058 0.525 0.000
Ho 0.525 0.058 0.000
Ho 0.525 0.525 0.467
In 0.030 0.530 0.500
In 0.530 0.030 0.500
Te 0.604 0.604 0.000

Calculated values
E_form (uncorrected), eV/f.u.: -3.27
Fermi-level density of states, states/eV per atom: 0.9494
VASP energy, eV per formula unit: -34.8

***

12.
Below is a relaxed structure of NdZnBi2, with properties calculated at the PBE level.

a = 4.876 Å, b = 4.876 Å, c = 4.666 Å
α = 90.00°, β = 90.00°, γ = 90.00°
Atoms (fractional coordinates):
Nd 0.000 0.000 0.000
Zn 0.500 0.500 0.000
Bi 0.000 0.500 0.500
Bi 0.500 0.000 0.500

Calculated values
ΔH_f (0 K), meV per atom: -383.8
Fermi-level density of states, states/eV per atom: 0.5046
VASP energy, eV per formula unit: -15.3

***

The lowest VASP energy belongs to which entry?
PmCo5P3

***

Among the records above, which one has the lowest VASP energy?
PmCo5P3